DySbO | the Alexandria database | GGA-PBE | optimized geometry; raw formation energy = -1.959 eV/atom; offset from the most stable computed form = 0.47 eV/f.u.; final energy = -6.520 eV per atom
1.0
3.7945 0.0000 0.0000
-1.8972 3.2861 0.0000
0.0000 0.0000 10.2615
Dy O Sb
2 2 2
Cartesian
0.0000 2.1907 8.8063
1.8972 1.0954 1.4552
1.8972 1.0954 9.4008
0.0000 2.1907 0.8607
1.8972 1.0954 6.1520
0.0000 2.1907 4.1095

Dy12Sb3O5 | the Alexandria database | GGA-PBE | optimized geometry; raw formation energy = -1.703 eV/atom; final energy = -6.322 eV per atom
1.0
-3.2538 9.0447 -9.4354
-11.0298 -3.4229 6.9316
9.0963 5.3306 8.3823
O Dy Sb
20 48 12
Cartesian
-9.4106 3.9906 2.2636
-0.9667 0.9539 7.6570
-9.3275 -0.0675 4.7541
-5.2680 0.5624 7.1627
4.5482 2.6653 4.1911
-7.1418 2.8109 -1.2519
0.0807 10.3900 -1.2841
-2.9184 9.7728 2.3630
-2.5936 5.4762 2.9393
-2.8406 3.2024 -0.7576
0.0000 0.0000 0.0000
-5.9228 6.6432 0.3991
-2.2688 1.1797 3.5155
-1.6269 4.5224 -4.7177
2.9213 7.1877 -0.5266
4.2233 6.9618 3.6149
-2.3467 7.7501 6.6361
0.7356 4.3092 5.4794
-5.5149 -1.7114 3.4658
4.1402 11.0199 1.1244
-1.8169 4.9869 11.6479
-8.2979 2.6307 0.9525
-0.5926 1.2064 2.1028
-3.9712 0.0832 2.6754
-4.5947 9.7460 3.7757
-7.4180 -0.1109 3.6779
-9.9138 5.8446 1.2073
-0.2697 6.5010 -4.0310
-0.2865 5.4197 3.8894
4.2128 12.6066 -0.3868
-2.2287 7.7348 1.9422
1.4511 5.2615 -1.1240
-3.4062 1.2812 8.0700
-12.5128 4.2922 -1.3527
2.9364 3.0160 9.5139
-4.4725 7.6876 -0.8706
-2.3455 6.4709 8.4166
-8.1237 7.9365 -3.6353
2.9439 6.5435 1.8845
-8.1312 4.4089 3.9941
-2.9586 3.2177 3.9364
-6.6384 5.6910 7.0025
-1.8609 4.3308 0.8466
-6.1513 2.2511 6.0790
-7.2688 8.0732 1.3737
-0.2984 8.2849 6.0663
7.3256 6.6603 7.2313
3.1106 8.3217 4.9260
-4.9007 5.5327 1.9892
-6.6445 -0.1744 8.7016
-3.3704 5.9655 -5.7694
-4.9176 4.4514 9.9096
-1.2160 10.8692 3.2032
-3.3264 6.6217 5.0320
-1.7811 9.6712 -2.1915
1.4572 11.1269 -2.8231
-0.3805 1.6963 9.9664
-7.0494 5.2794 -0.8959
2.2307 11.0633 2.2006
-4.8067 9.2561 -4.0879
4.7266 5.1079 4.6712
1.8621 5.6731 6.7745
2.0815 2.8792 4.5048
0.9640 8.7014 -0.2004
-0.7148 3.2649 6.7491
-4.8889 2.6676 -0.1878
-9.4001 -1.6541 6.2653
-2.8418 4.4815 -2.5381
-5.4395 6.1663 -3.4294
-3.2356 2.1335 11.1725
-1.9517 8.8189 -5.2939
-9.9824 6.0133 -2.0094
4.7951 4.9391 7.8880
-6.4062 7.1201 4.2276
0.2522 4.7861 9.3079
-3.8073 4.1562 6.8994
-5.8397 2.5851 2.8896
-1.3799 6.7962 -1.0209
0.6525 8.3673 2.9890
1.2190 3.8323 1.6510

DySbO | the Alexandria database | GGA-PBE | optimized geometry; raw formation energy = -2.114 eV/atom; offset from the most stable computed form = 0.00 eV/f.u.; final energy = -6.675 eV per atom
1.0
5.7626 0.0000 0.0000
0.0000 7.8188 0.7155
0.0000 -2.6330 5.9912
Dy Sb O
4 4 4
Cartesian
0.4873 4.1288 2.9324
2.3940 2.8123 5.9280
3.3686 2.3735 0.7787
5.2753 1.0571 3.7743
2.0291 -0.4832 2.0611
0.8522 -1.7996 5.0567
4.9104 6.9855 1.6499
3.7335 5.6690 4.6455
1.0100 2.5414 4.3100
1.8713 3.8579 1.3144
3.8913 1.3280 5.3923
4.7526 2.6444 2.3967

Dy2SbO | the Alexandria database | GGA-PBE | optimized geometry; raw formation energy = -2.041 eV/atom; offset from the most stable computed form = 0.00 eV/f.u.; final energy = -6.613 eV per atom
1.0
4.4673 0.0000 -0.0030
0.0000 4.4673 -0.0030
0.0042 0.0042 8.7451
Dy O Sb
4 2 2
Cartesian
1.1189 3.3525 4.3696
1.1166 1.1166 1.3795
3.3525 1.1189 4.3696
3.3549 3.3548 7.3597
1.1184 1.1184 3.7197
3.3531 3.3530 5.0195
3.3505 3.3505 1.7514
1.1209 1.1209 6.9878

Dy2Sb2O7 | the Alexandria database | GGA-PBE | optimized geometry; raw formation energy = -2.382 eV/atom; offset from the most stable computed form = 0.00 eV/f.u.; final energy = -7.123 eV per atom
1.0
-6.3350 -2.8392 2.9426
6.5242 -3.6883 0.8267
3.2065 9.2115 15.7910
O Sb Dy
42 12 12
Cartesian
0.0830 -0.5558 1.3729
5.2019 7.5530 15.3919
4.0320 2.6179 8.0023
1.0445 1.6013 5.0601
2.5934 6.1471 13.4711
-0.5877 -0.2811 8.8800
0.4397 -1.4300 11.0566
5.7560 4.3204 13.8834
-2.8895 -2.3348 6.1443
-4.6318 -1.0216 4.5764
-4.0732 1.0398 8.5580
4.1758 1.9793 16.7732
0.3355 6.4865 14.8873
-0.1132 1.0183 12.6602
3.8108 -2.1797 1.8101
0.9469 4.0551 13.3107
1.8317 -1.5350 3.5522
-0.8620 2.5018 6.9489
3.9575 -0.6949 5.5489
6.4018 1.1432 11.6155
1.5208 0.7105 14.8860
2.3988 6.1248 16.4432
5.0973 4.4812 16.8417
1.4648 1.0078 10.5821
-0.6047 -0.8496 4.8615
4.2103 -3.2870 4.1388
-2.7142 -2.2510 3.1891
2.0260 1.0011 7.5889
5.8541 -1.1990 3.7427
3.0992 -0.3143 13.0322
4.6619 1.8369 13.8380
-2.5970 0.2507 6.3405
-1.3128 2.1706 10.5154
1.0989 -1.7068 7.0829
8.5129 5.5704 15.7719
3.4875 2.7429 10.9108
0.2232 -3.9595 3.2258
3.0342 3.5618 14.9262
-1.8766 2.5203 14.4160
0.8493 3.8987 16.3402
1.7562 3.5762 9.0611
3.6677 0.0469 9.5284
3.0107 1.9727 5.5097
2.7444 1.8266 9.2967
-0.4150 0.3795 10.7590
-0.4499 3.6856 8.8492
-1.8855 -0.8451 0.8758
0.6623 -2.8767 5.1795
4.9433 3.1769 15.3344
-2.6145 -0.9711 4.7216
4.7866 6.4809 13.4271
2.2706 1.5563 13.1748
3.8407 -1.3871 3.6770
1.6884 5.0272 14.8925
3.2720 -1.2608 7.5837
-3.6763 2.2396 10.3479
6.4374 0.0355 5.9439
-0.0636 0.3760 6.8246
2.1712 4.9848 11.1950
5.4669 3.2078 11.8032
8.1093 4.6025 13.8482
-1.0279 3.4286 12.5116
1.2526 4.9467 18.4348
-5.2128 -2.3363 2.4214
0.5659 0.4477 3.2598
1.2873 -2.6463 1.5231

Dy3Sb2O2 | the Alexandria database | GGA-PBE | optimized geometry; raw formation energy = -2.160 eV/atom; final energy = -6.727 eV per atom
1.0
-0.0420 -3.8520 -0.3857
5.3557 -0.5673 5.0833
-5.4319 1.7096 2.9478
Dy O Sb
3 2 2
Cartesian
2.6779 -0.2837 2.5417
-0.5186 -2.1723 2.3207
0.4004 -0.5375 5.3247
0.4735 -0.3091 3.0354
-0.5917 -2.4007 4.6100
-3.2792 -0.2578 2.9318
3.1610 -2.4520 4.7137

DySbO | the Alexandria database | GGA-PBE | optimized geometry; raw formation energy = -1.951 eV/atom; offset from the most stable computed form = 0.49 eV/f.u.; final energy = -6.512 eV per atom
1.0
3.5713 0.0000 0.0000
-1.7857 3.0929 0.0000
0.0000 0.0000 6.7466
Dy Sb O
1 1 1
Cartesian
1.7857 1.0310 2.9610
0.0000 0.0000 0.2385
0.0000 2.0619 3.5471

Dy3SbO6 | the Alexandria database | GGA-PBE | optimized geometry; raw formation energy = -2.928 eV/atom; final energy = -7.696 eV per atom
1.0
6.7659 -0.0160 -0.0164
-0.1629 6.7640 -0.0164
-0.1629 -0.1664 6.7620
O Dy Sb
12 6 2
Cartesian
4.4385 0.5162 6.2562
0.4198 6.1559 4.5863
6.1454 4.5729 0.6549
3.4618 2.6253 1.1872
2.5495 1.1089 3.5434
3.8907 5.4727 3.1858
1.0533 3.4855 2.6509
0.2948 2.0086 6.0743
5.3869 3.0961 4.0782
6.0204 0.4256 2.1428
2.0017 6.0653 0.4730
2.9784 3.9563 5.5420
1.6015 3.7448 0.4286
6.1296 4.9729 2.9758
2.7311 6.1903 5.0377
0.3106 1.6087 3.7534
3.7091 0.3912 1.6915
4.8387 2.8368 6.3006
3.2201 3.2908 3.3646
0.0000 0.0000 0.0000

Dy2Sb2O7 | the Alexandria database | GGA-PBE | optimized geometry; raw formation energy = -2.285 eV/atom; offset from the most stable computed form = 1.06 eV/f.u.; final energy = -7.027 eV per atom
1.0
0.0000 5.3287 5.3287
5.3287 0.0000 5.3287
5.3287 5.3287 0.0000
O Dy Sb
14 4 4
Cartesian
5.3287 5.3287 5.3287
4.9949 2.6643 2.6643
2.6643 2.6643 4.9949
5.3287 5.3287 2.3306
2.6643 0.3337 2.6643
5.3287 2.3306 5.3287
2.6643 2.6643 0.3337
0.3337 2.6643 2.6643
7.9930 7.9930 7.9930
5.3287 5.3287 8.3267
2.3306 5.3287 5.3287
2.6643 4.9949 2.6643
8.3267 5.3287 5.3287
5.3287 8.3267 5.3287
3.9965 3.9965 6.6608
3.9965 6.6608 3.9965
6.6608 3.9965 3.9965
6.6608 6.6608 6.6608
1.3322 3.9965 3.9965
1.3322 1.3322 1.3322
3.9965 1.3322 3.9965
3.9965 3.9965 1.3322

Dy2Sb2O7 | the Alexandria database | GGA-PBE | optimized geometry; raw formation energy = -2.335 eV/atom; offset from the most stable computed form = 0.51 eV/f.u.; final energy = -7.077 eV per atom
1.0
4.8681 -4.7410 3.2877
-5.7630 -4.3783 2.1456
1.0619 1.7954 -7.2549
Dy O Sb
4 14 4
Cartesian
-2.8815 -2.1891 1.0728
-0.4474 -4.5597 2.7167
0.0000 0.0000 0.0000
0.0835 -3.6619 -0.9108
-0.5273 -0.7762 -3.9643
0.6943 -6.5476 2.1427
1.3775 -4.0453 1.3059
-1.7477 -7.4309 2.9050
-4.4006 -4.1181 0.2321
1.4415 -5.5983 -1.1978
-1.2105 -3.2785 -3.1275
-1.5092 -4.1176 0.8014
-1.4373 -5.5900 -1.7503
1.6762 -3.2062 -2.6230
4.5676 -3.2058 -2.0537
1.9147 0.1071 -4.7265
-1.2744 -1.7255 -0.6238
1.6043 -1.7338 -0.0712
2.4340 -2.3705 1.6439
-2.3505 -1.2914 -2.5547
0.5310 0.8977 -3.6274
2.9650 -1.4728 -1.9836

Dy2SbO2 | the Alexandria database | GGA-PBE | optimized geometry; raw formation energy = -2.618 eV/atom; offset from the most stable computed form = 0.56 eV/f.u.; final energy = -7.267 eV per atom
1.0
-2.4589 5.8264 3.8486
-4.2469 4.3441 -2.1239
-4.2627 0.0015 4.5180
O Sb Dy
4 2 4
Cartesian
-4.2676 5.0765 2.0113
-6.7010 5.0955 4.2313
-9.1784 8.7740 4.2157
-1.7902 1.3979 2.0270
-6.2792 7.9096 2.5799
-4.6894 2.2623 3.6628
-4.5162 5.5820 4.3813
-2.6866 3.5733 1.4147
-6.4524 4.5899 1.8613
-8.2820 6.5986 4.8280

Dy5Sb2O12 | the Alexandria database | GGA-PBE | optimized geometry; raw formation energy = -2.821 eV/atom; final energy = -7.597 eV per atom
1.0
6.0709 0.0000 0.0000
-3.0354 6.2611 0.0062
0.0000 -2.1972 7.0407
O Dy Sb
12 5 2
Cartesian
-1.4023 2.1453 6.4256
1.5143 0.6582 4.0303
1.5211 3.4058 3.0166
3.0354 5.8276 1.3403
-1.5211 3.4058 3.0166
1.6332 1.9187 0.6214
0.0000 -1.7636 5.7067
4.5566 0.6582 4.0303
1.4023 2.1453 6.4256
3.0354 -1.7550 5.6883
4.4377 1.9187 0.6214
0.0000 5.8190 1.3587
3.0354 1.7444 2.5716
0.0000 3.4321 1.2156
0.0000 -1.0986 3.5204
3.0354 0.6319 5.8314
0.0000 2.3196 4.4753
1.4920 0.0000 0.0000
4.5789 0.0000 0.0000

Dy2SbO | the Alexandria database | GGA-PBE | optimized geometry; raw formation energy = -1.695 eV/atom; offset from the most stable computed form = 1.39 eV/f.u.; final energy = -6.266 eV per atom
1.0
-1.7496 -2.8034 1.6779
1.9250 -2.4500 2.0068
-0.8302 2.2038 6.9093
Dy O Sb
2 1 1
Cartesian
-0.5513 -2.0195 8.3301
-0.1036 -1.0301 2.2639
0.0000 0.0000 0.0000
-0.3274 -1.5248 5.2970

DySbSeO2 | the Alexandria database | GGA-PBE | optimized geometry; raw formation energy = -2.006 eV/atom; final energy = -6.432 eV per atom
1.0
3.9713 0.0000 0.0000
0.0000 6.4911 -0.2519
0.0000 -1.7053 7.4230
Se O Sb Dy
2 4 2 2
Cartesian
0.9928 -0.9321 5.8828
2.9785 5.7179 1.2882
0.9928 2.9016 0.8955
2.9785 1.8843 6.2755
2.9785 2.6370 2.7429
0.9928 2.1488 4.4281
2.9785 1.0736 4.3308
0.9928 3.7122 2.8402
2.9785 1.8695 0.4711
0.9928 2.9163 6.6999

DySi2SbO8 | the Alexandria database | GGA-PBE | optimized geometry; raw formation energy = -2.418 eV/atom; final energy = -7.355 eV per atom
1.0
-2.0522 4.4350 -2.8787
-2.4504 -1.0614 5.0037
5.4331 1.1936 1.1067
Si O Dy Sb
2 8 1 1
Cartesian
0.5648 3.6577 -0.3548
-2.2513 1.6868 1.0625
-0.8744 1.0664 1.7191
-0.7782 4.2170 -1.1405
1.7356 2.5455 2.8823
-2.5224 3.3082 1.1597
0.3481 4.2669 1.1669
3.5220 2.2141 0.7021
0.7062 2.0107 -0.3882
1.9829 4.1361 -1.0574
0.3657 0.9095 3.5864
0.0000 0.0000 0.0000

SmDySbO2 | the Alexandria database | GGA-PBE | optimized geometry; raw formation energy = -2.676 eV/atom; final energy = -7.348 eV per atom
1.0
-1.7009 2.3484 -2.6079
-2.7486 0.9105 2.6126
6.0062 3.5305 2.1778
O Sb Sm Dy
2 1 1 1
Cartesian
1.0201 3.7266 -0.2255
0.4962 3.0077 2.3847
-2.2072 1.6535 0.0125
0.3194 5.1012 1.4691
1.2600 1.7193 0.7264